## A
This record from the Alexandria database describes an optimized crystal structure of Li2CrMo. The functional is GGA-PBE.

Lattice parameters (Å, degrees): 3.0336 4.4039 9.1065 90.00 90.00 90.00
Space group Cmm2 (No. 35)
One atom of each set of equivalent atoms:
1 Li 0.0000 0.0000 0.0000 [2 per cell]
2 Li 0.0000 0.5000 0.2797 [2 per cell]
3 Cr 0.0000 0.0000 0.5249 [2 per cell]
4 Mo 0.0000 0.5000 0.7370 [2 per cell]

## Properties
The total magnetization is 0.0 μB per cell. For the density of states at the Fermi level, the calculation gives 2.38 states/eV/f.u. The crystal system is orthorhombic. The value obtained for the theoretical density is 4.4 g cm⁻³.

## B
This record from the Alexandria database describes an optimized crystal structure of Li2CrMo. The functional is GGA-PBE.

Lattice parameters (Å, degrees): 2.6572 2.6572 29.2107 90.00 90.00 120.00
Space group R3m (No. 160, hexagonal axes)
One atom of each set of equivalent atoms:
1 Li 0.0000 0.0000 0.0000 [3 per cell]
2 Li 0.0000 0.0000 0.2432 [3 per cell]
3 Cr 0.0000 0.0000 0.7458 [3 per cell]
4 Mo 0.0000 0.0000 0.4913 [3 per cell]

## Properties
The total magnetization is 0.4 μB per cell. For the density of states at the Fermi level, the calculation gives 4.77 states/eV/f.u. The crystal system is trigonal. The value obtained for the theoretical density is 4.5 g cm⁻³.

## C
This record from the Alexandria database describes an optimized crystal structure of Li2CrMo. The functional is GGA-PBE.

Lattice parameters (Å, degrees): 6.9108 6.9108 4.5920 90.00 90.00 90.00
Space group I-42d (No. 122)
One atom of each set of equivalent atoms:
1 Li 0.2369 0.7500 0.1250 [8 per cell]
2 Cr 0.0000 0.0000 0.0000 [4 per cell]
3 Mo 0.0000 0.0000 0.5000 [4 per cell]

## Properties
The total magnetization is 0.0 μB per cell. For the density of states at the Fermi level, the calculation gives 3.91 states/eV/f.u. The crystal system is tetragonal. The value obtained for the theoretical density is 4.9 g cm⁻³.

Preferred: A; penalty for the next structure: 0.118 eV/atom.

## A
This record from the Alexandria database describes an optimized crystal structure of Li2CrMo. The functional is GGA-PBE.

Lattice parameters (Å, degrees): 3.4524 3.4524 9.4501 90.00 90.00 90.00
Space group I4/mmm (No. 139)
One atom of each set of equivalent atoms:
1 Li 0.0000 0.5000 0.2500 [4 per cell]
2 Cr 0.0000 0.0000 0.0000 [2 per cell]
3 Mo 0.0000 0.0000 0.5000 [2 per cell]

## Properties
The total magnetization is 1.5 μB per cell. For the density of states at the Fermi level, the calculation gives 2.69 states/eV/f.u. The crystal system is tetragonal. The value obtained for the theoretical density is 4.8 g cm⁻³.

## B
This record from the Alexandria database describes an optimized crystal structure of Li2CrMo. The functional is GGA-PBE.

Lattice parameters (Å, degrees): 4.6311 4.6311 2.7397 90.00 90.00 90.00
Space group P4/mmm (No. 123)
One atom of each set of equivalent atoms:
1 Li 0.0000 0.5000 0.0000 [2 per cell]
2 Cr 0.0000 0.0000 0.5000 [1 per cell]
3 Mo 0.5000 0.5000 0.5000 [1 per cell]

## Properties
The total magnetization is 3.0 μB per cell. For the density of states at the Fermi level, the calculation gives 2.34 states/eV/f.u. The crystal system is tetragonal. The value obtained for the theoretical density is 4.6 g cm⁻³.

## C
This record from the Alexandria database describes an optimized crystal structure of Li2CrMo. The functional is GGA-PBE.

Lattice parameters (Å, degrees): 2.4612 2.4612 9.3964 90.00 90.00 90.00
Space group P4/mmm (No. 123)
One atom of each set of equivalent atoms:
1 Li 0.0000 0.0000 0.2430 [2 per cell]
2 Cr 0.5000 0.5000 0.0000 [1 per cell]
3 Mo 0.5000 0.5000 0.5000 [1 per cell]

## Properties
The total magnetization is 0.2 μB per cell. For the density of states at the Fermi level, the calculation gives 4.82 states/eV/f.u. The crystal system is tetragonal. The value obtained for the theoretical density is 4.7 g cm⁻³.

## D
This record from the Alexandria database describes an optimized crystal structure of Li2CrMo. The functional is GGA-PBE.

Lattice parameters (Å, degrees): 8.6227 2.4516 5.4457 90.00 90.46 90.00
Space group Cm (No. 8)
One atom of each set of equivalent atoms:
1 Li 0.0000 0.0000 0.0000 [2 per cell]
2 Li 0.2461 0.5000 0.2355 [2 per cell]
3 Cr 0.2552 0.0000 0.7215 [2 per cell]
4 Mo 0.4926 0.0000 0.5242 [2 per cell]

## Properties
The total magnetization is 0.0 μB per cell. For the density of states at the Fermi level, the calculation gives 2.26 states/eV/f.u. The crystal system is monoclinic. The value obtained for the theoretical density is 4.7 g cm⁻³.

Preferred: A; penalty for the next structure: 0.021 eV/atom.

## A
This record from the Alexandria database describes an optimized crystal structure of Li2CrMo. The functional is GGA-PBE.

Lattice parameters (Å, degrees): 2.5065 4.8366 4.7683 90.00 101.34 90.00
Space group P2/m (No. 10)
One atom of each set of equivalent atoms:
1 Li 0.2170 0.0000 0.2530 [2 per cell]
2 Cr 0.0000 0.5000 0.5000 [1 per cell]
3 Mo 0.5000 0.5000 0.0000 [1 per cell]

## Properties
The total magnetization is 1.0 μB per cell. For the density of states at the Fermi level, the calculation gives 3.15 states/eV/f.u. The crystal system is monoclinic. The value obtained for the theoretical density is 4.7 g cm⁻³.

## B
This record from the Alexandria database describes an optimized crystal structure of Li2CrMo. The functional is GGA-PBE.

Lattice parameters (Å, degrees): 3.0970 3.0970 6.6229 90.00 90.00 90.00
Space group P4mm (No. 99)
One atom of each set of equivalent atoms:
1 Li 0.0000 0.0000 0.0000 [1 per cell]
2 Li 0.5000 0.5000 0.2758 [1 per cell]
3 Cr 0.5000 0.5000 0.7278 [1 per cell]
4 Mo 0.0000 0.0000 0.5638 [1 per cell]

## Properties
The total magnetization is 0.8 μB per cell. For the density of states at the Fermi level, the calculation gives 3.63 states/eV/f.u. The crystal system is tetragonal. The value obtained for the theoretical density is 4.2 g cm⁻³.

Preferred: B; penalty for the next structure: 0.028 eV/atom.

## A
This record from the Alexandria database describes an optimized crystal structure of LiCrMo3. The functional is GGA-PBE.

Lattice parameters (Å, degrees): 4.1782 4.1782 4.1782 90.00 90.00 90.00
Space group Pm-3m (No. 221)
One atom of each set of equivalent atoms:
1 Li 0.0000 0.0000 0.0000 [1 per cell]
2 Cr 0.5000 0.5000 0.5000 [1 per cell]
3 Mo 0.0000 0.0000 0.5000 [3 per cell]

## Properties
The total magnetization is 0.0 μB per cell. For the density of states at the Fermi level, the calculation gives 7.93 states/eV/f.u. The crystal system is cubic. The value obtained for the theoretical density is 7.9 g cm⁻³.

## B
This record from the Alexandria database describes an optimized crystal structure of LiCrMo3. The functional is GGA-PBE.

Lattice parameters (Å, degrees): 4.5100 4.5100 4.5100 90.00 90.00 90.00
Space group Pm-3m (No. 221)
One atom of each set of equivalent atoms:
1 Li 0.0000 0.0000 0.0000 [1 per cell]
2 Cr 0.5000 0.5000 0.5000 [1 per cell]
3 Mo 0.0000 0.5000 0.5000 [3 per cell]

## Properties
The total magnetization is 0.0 μB per cell. For the density of states at the Fermi level, the calculation gives 6.42 states/eV/f.u. The crystal system is cubic. The value obtained for the theoretical density is 6.3 g cm⁻³.

Preferred: B; penalty for the next structure: 0.250 eV/atom.

## A
This record from the Alexandria database describes an optimized crystal structure of LiCr2N3. The functional is GGA-PBE.

Lattice parameters (Å, degrees): 9.6001 5.6065 5.0103 90.00 90.00 90.00
Space group Cmc2_1 (No. 36)
One atom of each set of equivalent atoms:
1 Li 0.0000 0.1673 0.0000 [4 per cell]
2 Cr 0.1671 0.3321 0.4897 [8 per cell]
3 N 0.0000 0.2052 0.5654 [4 per cell]
4 N 0.1873 0.3566 0.1176 [8 per cell]

## Properties
The total magnetization is 15.5 μB per cell. For the density of states at the Fermi level, the calculation gives 2.72 states/eV/f.u. The crystal system is orthorhombic. The value obtained for the theoretical density is 3.8 g cm⁻³.

## B
This record from the Alexandria database describes an optimized crystal structure of LiCr2N3. The functional is GGA-PBE.

Lattice parameters (Å, degrees): 5.0174 2.7366 7.3912 90.00 99.38 90.00
Space group P2_1/m (No. 11)
One atom of each set of equivalent atoms:
1 Li 0.0395 0.2500 0.3535 [2 per cell]
2 Cr 0.2087 0.2500 0.9880 [2 per cell]
3 Cr 0.4851 0.2500 0.6714 [2 per cell]
4 N 0.1501 0.7500 0.1612 [2 per cell]
5 N 0.2894 0.7500 0.5202 [2 per cell]
6 N 0.4016 0.7500 0.8516 [2 per cell]

## Properties
The total magnetization is 0.3 μB per cell. For the density of states at the Fermi level, the calculation gives 2.82 states/eV/f.u. The crystal system is monoclinic. The value obtained for the theoretical density is 5.1 g cm⁻³.

Preferred: A; penalty for the next structure: 0.065 eV/atom.

## A
This record from the Alexandria database describes an optimized crystal structure of LiCrN. The functional is GGA-PBE.

Lattice parameters (Å, degrees): 3.2287 3.2287 5.4731 90.00 90.00 90.00
Space group P4/nmm (No. 129, origin choice 2)
One atom of each set of equivalent atoms:
1 Li 0.2500 0.2500 0.1111 [2 per cell]
2 Cr 0.2500 0.7500 0.5000 [2 per cell]
3 N 0.2500 0.2500 0.7355 [2 per cell]

## Properties
The total magnetization is 0.0 μB per cell. For the density of states at the Fermi level, the calculation gives 1.59 states/eV/f.u. The crystal system is tetragonal. The value obtained for the theoretical density is 4.2 g cm⁻³.

## B
This record from the Alexandria database describes an optimized crystal structure of LiCrN. The functional is GGA-PBE.

Lattice parameters (Å, degrees): 6.9476 3.1345 5.0303 90.00 90.00 90.00
Space group Pnma (No. 62)
One atom of each set of equivalent atoms:
1 Li 0.1037 0.2500 0.0981 [4 per cell]
2 Cr 0.1263 0.2500 0.5795 [4 per cell]
3 N 0.1537 0.7500 0.3410 [4 per cell]

## Properties
The total magnetization is 3.0 μB per cell. For the density of states at the Fermi level, the calculation gives 1.60 states/eV/f.u. The crystal system is orthorhombic. The value obtained for the theoretical density is 4.4 g cm⁻³.

## C
This record from the Alexandria database describes an optimized crystal structure of LiCrN. The functional is GGA-PBE.

Lattice parameters (Å, degrees): 2.6682 2.6682 9.3888 90.00 90.00 90.00
Space group I4mm (No. 107)
One atom of each set of equivalent atoms:
1 Li 0.0000 0.0000 0.0000 [2 per cell]
2 Cr 0.0000 0.0000 0.2843 [2 per cell]
3 N 0.0000 0.0000 0.7460 [2 per cell]

## Properties
The total magnetization is 0.0 μB per cell. For the density of states at the Fermi level, the calculation gives 1.17 states/eV/f.u. The crystal system is tetragonal. The value obtained for the theoretical density is 3.6 g cm⁻³.

Preferred: A; penalty for the next structure: 0.028 eV/atom.